First-principles (GGA-PBE) data for crystalline LiCrCu at its relaxed geometry, as listed in Alexandria.

Computed properties:
Distance to the lowest polymorph of the same formula   53 meV/atom
DOS(E_F)   6.914 states/eV/cell
Calculated volume   13.077 Å³/atom
Magnetic moment   0.00 Bohr magnetons per cell
Crystal system   orthorhombic
DFT formation energy   0.299 eV per atom
Space-group type   Pnma

The structure in POSCAR format:
```
LiCrCu
1.0
5.4473 0.0000 0.0000
0.0000 2.8160 0.0000
0.0000 0.0000 10.2303
Li Cr Cu
4 4 4
direct
0.1563 0.2500 0.2426 Li
0.3437 0.7500 0.7426 Li
0.6563 0.2500 0.2574 Li
0.8437 0.7500 0.7574 Li
0.1083 0.2500 0.9512 Cr
0.3917 0.7500 0.4512 Cr
0.6083 0.2500 0.5488 Cr
0.8917 0.7500 0.0488 Cr
0.0939 0.2500 0.5872 Cu
0.4061 0.7500 0.0872 Cu
0.5939 0.2500 0.9128 Cu
0.9061 0.7500 0.4128 Cu
```